[1]
Computed, not measured: crystalline Ba2TlNiBi at its relaxed geometry at the GGA-PBE level of DFT.

Computed properties:
energy relative to the elements	-401	meV per atom

Cell: 5.8743 5.8743 5.0817 Å, 90.00 90.00 90.00°
Space group P4/mmm (No. 123)
Inequivalent atoms, fractional coordinates:
Ba: 0.0000 0.5000 0.0000 [2 per cell]
Tl: 0.0000 0.0000 0.5000 [1 per cell]
Ni: 0.0000 0.0000 0.0000 [1 per cell]
Bi: 0.5000 0.5000 0.5000 [1 per cell]

[2]
Computed, not measured: crystalline TbTeCl at its relaxed geometry at the GGA-PBE level of DFT.

Cell: 7.6470 9.6038 6.0840 Å, 90.00 113.44 90.00°
Space group P2_1/c (No. 14)
Inequivalent atoms, fractional coordinates:
Tb: 0.2233 0.0767 0.3617 [4 per cell]
Te: 0.1536 0.0976 0.8269 [4 per cell]
Cl: 0.4127 0.6607 0.9579 [4 per cell]

[3]
Computed, not measured: crystalline Hf2NiS4 at its relaxed geometry at the GGA-PBE level of DFT.

Cell: 10.2461 10.2461 10.2461 Å, 90.00 90.00 90.00°
Space group Fd-3m (No. 227, origin choice 2)
Inequivalent atoms, fractional coordinates:
Hf: 0.0000 0.0000 0.0000 [16 per cell]
Ni: 0.1250 0.1250 0.6250 [8 per cell]
S: 0.9999 0.9999 0.2501 [32 per cell]

[4]
Computed, not measured: crystalline TbSmTlRu at its relaxed geometry at the GGA-PBE level of DFT.

Computed properties:
ΔE to the lowest computed polymorph	0	meV/atom
energy relative to the elements	-356	meV per atom

Cell: 3.4242 3.4242 8.5199 Å, 90.00 90.00 90.00°
Space group P4mm (No. 99)
Inequivalent atoms, fractional coordinates:
Tb: 0.0000 0.0000 0.0000 [1 per cell]
Sm: 0.0000 0.0000 0.4002 [1 per cell]
Tl: 0.5000 0.5000 0.7039 [1 per cell]
Ru: 0.5000 0.5000 0.1950 [1 per cell]

[5]
Computed, not measured: crystalline CsSmS4 at its relaxed geometry at the GGA-PBE level of DFT.

Cell: 6.0735 6.0735 8.7349 Å, 90.00 90.00 90.00°
Space group P4/nbm (No. 125, origin choice 2)
Inequivalent atoms, fractional coordinates:
Cs: 0.2500 0.2500 0.0000 [2 per cell]
Sm: 0.2500 0.2500 0.5000 [2 per cell]
S: 0.1270 0.6270 0.3102 [8 per cell]

[6]
Computed, not measured: crystalline Sr2HgTe2 at its relaxed geometry at the GGA-PBE level of DFT.

Computed properties:
ΔE to the lowest computed polymorph	0	meV/atom

Cell: 9.0978 9.0978 4.2508 Å, 90.00 90.00 90.00°
Space group P4/mbm (No. 127)
Inequivalent atoms, fractional coordinates:
Sr: 0.1476 0.3524 0.0000 [4 per cell]
Hg: 0.0000 0.0000 0.0000 [2 per cell]
Te: 0.1546 0.6546 0.5000 [4 per cell]

[7]
Computed, not measured: crystalline NaNiW3 at its relaxed geometry at the GGA-PBE level of DFT.

Computed properties:
ΔE to the lowest computed polymorph	1316	meV/atom
energy relative to the elements	3118	meV per atom

Cell: 4.4453 4.4453 4.4453 Å, 90.00 90.00 90.00°
Space group Pm-3m (No. 221)
Inequivalent atoms, fractional coordinates:
Na: 0.0000 0.0000 0.0000 [1 per cell]
Ni: 0.5000 0.5000 0.5000 [1 per cell]
W: 0.0000 0.0000 0.5000 [3 per cell]

[8]
Computed, not measured: crystalline TbNpH at its relaxed geometry at the GGA-PBE level of DFT.

Cell: 12.9232 3.3439 5.8026 Å, 90.00 95.82 90.00°
Space group C2/m (No. 12)
Inequivalent atoms, fractional coordinates:
Tb: 0.2029 0.0000 0.2383 [4 per cell]
Np: 0.0475 0.0000 0.7125 [4 per cell]
H: 0.2076 0.0000 0.6169 [4 per cell]

[9]
Computed, not measured: crystalline CuAsPtAu at its relaxed geometry at the GGA-PBE level of DFT.

Computed properties:
energy relative to the elements	69	meV per atom

Cell: 6.3762 6.3762 6.3762 Å, 90.00 90.00 90.00°
Space group F-43m (No. 216)
Inequivalent atoms, fractional coordinates:
Cu: 0.0000 0.0000 0.0000 [4 per cell]
As: 0.2500 0.2500 0.7500 [4 per cell]
Pt: 0.0000 0.0000 0.5000 [4 per cell]
Au: 0.2500 0.2500 0.2500 [4 per cell]

[10]
Computed, not measured: crystalline BSb3Cl at its relaxed geometry at the GGA-PBE level of DFT.

Computed properties:
ΔE to the lowest computed polymorph	0	meV/atom

Cell: 4.9190 4.9190 4.9190 Å, 90.00 90.00 90.00°
Space group Pm-3m (No. 221)
Inequivalent atoms, fractional coordinates:
B: 0.0000 0.0000 0.0000 [1 per cell]
Sb: 0.0000 0.0000 0.5000 [3 per cell]
Cl: 0.5000 0.5000 0.5000 [1 per cell]

[11]
Computed, not measured: crystalline CoRe2SbI at its relaxed geometry at the GGA-PBE level of DFT.

Cell: 4.9354 4.9354 4.5263 Å, 90.00 90.00 90.00°
Space group P4/mmm (No. 123)
Inequivalent atoms, fractional coordinates:
Co: 0.0000 0.0000 0.0000 [1 per cell]
Re: 0.0000 0.5000 0.5000 [2 per cell]
Sb: 0.5000 0.5000 0.0000 [1 per cell]
I: 0.0000 0.0000 0.5000 [1 per cell]

[12]
Computed, not measured: crystalline Tb6Sm3Y2 at its relaxed geometry at the GGA-PBE level of DFT.

Computed properties:
ΔE to the lowest computed polymorph	0	meV/atom
energy relative to the elements	16	meV per atom

Cell: 3.5827 3.5827 96.2813 Å, 90.00 90.00 120.00°
Space group R-3m (No. 166, hexagonal axes)
Inequivalent atoms, fractional coordinates:
Tb: 0.0000 0.0000 0.0914 [6 per cell]
Tb: 0.0000 0.0000 0.1817 [6 per cell]
Tb: 0.0000 0.0000 0.3638 [6 per cell]
Sm: 0.0000 0.0000 0.0000 [3 per cell]
Sm: 0.0000 0.0000 0.2724 [6 per cell]
Y: 0.0000 0.0000 0.4548 [6 per cell]

no.,DFT total energy (eV/atom),size of the total moment (Bohr magnetons per cell)
1,-3.576,0.0
2,-4.944,0.0
3,-7.322,0.0
4,-5.604,0.0
5,-4.895,0.0
6,-3.244,0.0
7,-6.074,0.0
8,-6.738,18.6
9,-4.446,0.0
10,-3.531,0.0
11,-5.271,2.7
12,-4.972,0.0